# 1
Compound: TlSiSeBr2
Source: Alexandria via LeMat-Bulk
Functional: PBE
Structure: optimized geometry

## Properties
Symmetry: P4/mmm
Formation energy from raw total energies, eV per atom: -0.30

abc: 5.376 5.376 4.879
angles: 90.00 90.00 90.00
Element x y z (fractional)
Tl (0.000, 0.000, 0.000)
Si (0.500, 0.500, 0.500)
Se (0.500, 0.500, 0.000)
Br (0.000, 0.500, 0.500)
Br (0.500, 0.000, 0.500)

# 2
Compound: TlSiSeBr2
Source: Alexandria via LeMat-Bulk
Functional: PBE
Structure: optimized geometry

## Properties
Symmetry: P4/mmm
Formation energy from raw total energies, eV per atom: 0.52

abc: 5.548 5.548 5.466
angles: 90.00 90.00 90.00
Element x y z (fractional)
Tl (0.000, 0.000, 0.000)
Si (0.500, 0.500, 0.500)
Se (0.000, 0.000, 0.500)
Br (0.000, 0.500, 0.000)
Br (0.500, 0.000, 0.000)

# 3
Compound: Tl5SiSe4Br2
Source: Alexandria via LeMat-Bulk
Functional: PBE
Structure: optimized geometry

## Properties
Symmetry: Amm2
Formation energy from raw total energies, eV per atom: -0.53

abc: 9.376 6.622 6.622
angles: 97.86 90.00 90.00
Element x y z (fractional)
Tl (0.000, 0.000, 0.000)
Tl (0.267, 0.319, 0.688)
Tl (0.267, 0.688, 0.319)
Tl (0.733, 0.319, 0.688)
Tl (0.733, 0.688, 0.319)
Si (0.500, 0.917, 0.917)
Se (0.314, 0.093, 0.093)
Se (0.500, 0.585, 0.968)
Se (0.500, 0.968, 0.585)
Se (0.686, 0.093, 0.093)
Br (0.000, 0.529, 0.988)
Br (0.000, 0.988, 0.529)

# 4
Compound: SiWSe2Br
Source: Alexandria via LeMat-Bulk
Functional: PBE
Structure: optimized geometry

## Properties
Symmetry: P4/mmm
Formation energy from raw total energies, eV per atom: 0.27

abc: 4.833 4.833 5.123
angles: 90.00 90.00 90.00
Element x y z (fractional)
Si (0.000, 0.000, 0.000)
W (0.000, 0.000, 0.500)
Se (0.000, 0.500, 0.500)
Se (0.500, 0.000, 0.500)
Br (0.500, 0.500, 0.000)

# 5
Compound: SiWSe2Br
Source: Alexandria via LeMat-Bulk
Functional: PBE
Structure: optimized geometry

## Properties
Symmetry: P4/mmm
Formation energy from raw total energies, eV per atom: 0.68

abc: 4.926 4.926 5.194
angles: 90.00 90.00 90.00
Element x y z (fractional)
Si (0.000, 0.000, 0.000)
W (0.500, 0.500, 0.500)
Se (0.000, 0.500, 0.500)
Se (0.500, 0.000, 0.500)
Br (0.500, 0.500, 0.000)

# 6
Compound: SiWSeBr2
Source: Alexandria via LeMat-Bulk
Functional: PBE
Structure: optimized geometry

## Properties
Symmetry: P4/mmm
Formation energy from raw total energies, eV per atom: 0.75

abc: 5.199 5.199 4.905
angles: 90.00 90.00 90.00
Element x y z (fractional)
Si (0.000, 0.000, 0.000)
W (0.500, 0.500, 0.500)
Se (0.500, 0.500, 0.000)
Br (0.000, 0.500, 0.500)
Br (0.500, 0.000, 0.500)

# 7
Compound: SiWSe2Br
Source: Alexandria via LeMat-Bulk
Functional: PBE
Structure: optimized geometry

## Properties
Symmetry: P4/mmm
Formation energy from raw total energies, eV per atom: 1.12

abc: 4.924 4.924 4.751
angles: 90.00 90.00 90.00
Element x y z (fractional)
Si (0.000, 0.000, 0.000)
W (0.500, 0.500, 0.500)
Se (0.000, 0.500, 0.000)
Se (0.500, 0.000, 0.000)
Br (0.000, 0.000, 0.500)

# 8
Compound: SiWSeBr2
Source: Alexandria via LeMat-Bulk
Functional: PBE
Structure: optimized geometry

## Properties
Symmetry: P4/mmm
Formation energy from raw total energies, eV per atom: 1.14

abc: 4.939 4.939 5.193
angles: 90.00 90.00 90.00
Element x y z (fractional)
Si (0.000, 0.000, 0.000)
W (0.500, 0.500, 0.500)
Se (0.000, 0.000, 0.500)
Br (0.000, 0.500, 0.000)
Br (0.500, 0.000, 0.000)

# 9
Compound: YSiSeBr2
Source: Alexandria via LeMat-Bulk
Functional: PBE
Structure: optimized geometry

## Properties
Symmetry: P4/mmm
Formation energy from raw total energies, eV per atom: -0.27

abc: 5.066 5.066 5.197
angles: 90.00 90.00 90.00
Element x y z (fractional)
Y (0.000, 0.000, 0.000)
Si (0.500, 0.500, 0.500)
Se (0.500, 0.500, 0.000)
Br (0.000, 0.500, 0.500)
Br (0.500, 0.000, 0.500)

# 10
Compound: YSiSeBr2
Source: Alexandria via LeMat-Bulk
Functional: PBE
Structure: optimized geometry

## Properties
Symmetry: P4/mmm
Formation energy from raw total energies, eV per atom: -0.46

abc: 5.484 5.484 5.613
angles: 90.00 90.00 90.00
Element x y z (fractional)
Y (0.000, 0.000, 0.000)
Si (0.500, 0.500, 0.500)
Se (0.000, 0.000, 0.500)
Br (0.000, 0.500, 0.000)
Br (0.500, 0.000, 0.000)

# 11
Compound: Y4SiSe2Br
Source: Alexandria via LeMat-Bulk
Functional: PBE
Structure: optimized geometry

## Properties
Symmetry: P2/m
Formation energy from raw total energies, eV per atom: -1.40

abc: 7.083 4.109 7.270
angles: 90.00 108.92 90.00
Element x y z (fractional)
Y (0.239, 0.000, 0.217)
Y (0.260, 0.500, 0.776)
Y (0.740, 0.500, 0.224)
Y (0.761, 0.000, 0.783)
Si (0.500, 0.000, 0.000)
Se (0.000, 0.000, 0.500)
Se (0.000, 0.500, 0.000)
Br (0.500, 0.500, 0.500)

# 12
Compound: ZnSiSe2Br
Source: Alexandria via LeMat-Bulk
Functional: PBE
Structure: optimized geometry

## Properties
Symmetry: P4/mmm
Formation energy from raw total energies, eV per atom: 0.43

abc: 4.910 4.910 5.090
angles: 90.00 90.00 90.00
Element x y z (fractional)
Zn (0.000, 0.000, 0.000)
Si (0.500, 0.500, 0.500)
Se (0.000, 0.500, 0.000)
Se (0.500, 0.000, 0.000)
Br (0.000, 0.000, 0.500)

# 13
Compound: ZnSiSe2Br
Source: Alexandria via LeMat-Bulk
Functional: PBE
Structure: optimized geometry

## Properties
Symmetry: P4/mmm
Formation energy from raw total energies, eV per atom: 0.21

abc: 4.881 4.881 5.040
angles: 90.00 90.00 90.00
Element x y z (fractional)
Zn (0.000, 0.000, 0.000)
Si (0.500, 0.500, 0.500)
Se (0.000, 0.500, 0.500)
Se (0.500, 0.000, 0.500)
Br (0.500, 0.500, 0.000)

# 14
Compound: ZrSiSeBr2
Source: Alexandria via LeMat-Bulk
Functional: PBE
Structure: optimized geometry

## Properties
Symmetry: P4/mmm
Formation energy from raw total energies, eV per atom: -0.11

abc: 5.325 5.325 5.260
angles: 90.00 90.00 90.00
Element x y z (fractional)
Zr (0.000, 0.000, 0.000)
Si (0.500, 0.500, 0.500)
Se (0.000, 0.000, 0.500)
Br (0.000, 0.500, 0.000)
Br (0.500, 0.000, 0.000)

# 15
Compound: ZrSiSeBr2
Source: Alexandria via LeMat-Bulk
Functional: PBE
Structure: optimized geometry

## Properties
Symmetry: P4/mmm
Formation energy from raw total energies, eV per atom: 0.26

abc: 4.989 4.989 5.134
angles: 90.00 90.00 90.00
Element x y z (fractional)
Zr (0.000, 0.000, 0.000)
Si (0.500, 0.500, 0.500)
Se (0.500, 0.500, 0.000)
Br (0.000, 0.500, 0.500)
Br (0.500, 0.000, 0.500)

# 16
Compound: ZrSiSe2Br
Source: Alexandria via LeMat-Bulk
Functional: PBE
Structure: optimized geometry

## Properties
Symmetry: P4/mmm
Formation energy from raw total energies, eV per atom: 0.14

abc: 4.907 4.907 4.845
angles: 90.00 90.00 90.00
Element x y z (fractional)
Zr (0.000, 0.000, 0.000)
Si (0.500, 0.500, 0.500)
Se (0.000, 0.500, 0.500)
Se (0.500, 0.000, 0.500)
Br (0.500, 0.500, 0.000)

# 17
Compound: ZrSiSe2Br
Source: Alexandria via LeMat-Bulk
Functional: PBE
Structure: optimized geometry

## Properties
Symmetry: P4/mmm
Formation energy from raw total energies, eV per atom: -0.11

abc: 5.243 5.243 5.246
angles: 90.00 90.00 90.00
Element x y z (fractional)
Zr (0.000, 0.000, 0.000)
Si (0.500, 0.500, 0.500)
Se (0.000, 0.500, 0.000)
Se (0.500, 0.000, 0.000)
Br (0.000, 0.000, 0.500)

# 18
Compound: Sm3SeBr7
Source: Alexandria via LeMat-Bulk
Functional: PBE
Structure: optimized geometry

## Properties
Symmetry: P3m1
Formation energy from raw total energies, eV per atom: -1.85

abc: 8.541 8.541 7.020
angles: 90.00 90.00 120.00
Element x y z (fractional)
Sm (0.012, 0.506, 0.000)
Sm (0.494, 0.506, 0.000)
Sm (0.494, 0.988, 0.000)
Se (0.333, 0.667, 0.218)
Br (0.174, 0.347, 0.766)
Br (0.174, 0.826, 0.766)
Br (0.349, 0.175, 0.215)
Br (0.653, 0.826, 0.766)
Br (0.667, 0.333, 0.761)
Br (0.825, 0.175, 0.215)
Br (0.825, 0.651, 0.215)

# 19
Compound: Sm4SeBr5
Source: Alexandria via LeMat-Bulk
Functional: PBE
Structure: optimized geometry

## Properties
Symmetry: C2/m
Formation energy from raw total energies, eV per atom: -1.61

abc: 9.463 9.463 8.597
angles: 104.15 104.15 24.61
Element x y z (fractional)
Sm (0.002, 0.002, 0.276)
Sm (0.347, 0.347, 0.427)
Sm (0.653, 0.653, 0.573)
Sm (0.998, 0.998, 0.724)
Se (0.500, 0.500, 0.500)
Br (0.163, 0.163, 0.832)
Br (0.174, 0.174, 0.324)
Br (0.500, 0.500, 0.000)
Br (0.826, 0.826, 0.676)
Br (0.837, 0.837, 0.168)

# 20
Compound: Sm7SeBr12
Source: Alexandria via LeMat-Bulk
Functional: PBE
Structure: optimized geometry

## Properties
Symmetry: R-3
Formation energy from raw total energies, eV per atom: -1.70

abc: 9.299 9.299 9.299
angles: 108.00 108.00 108.00
Element x y z (fractional)
Sm (0.000, 0.000, 0.000)
Sm (0.174, 0.460, 0.385)
Sm (0.385, 0.174, 0.460)
Sm (0.460, 0.385, 0.174)
Sm (0.540, 0.615, 0.826)
Sm (0.615, 0.826, 0.540)
Sm (0.826, 0.540, 0.615)
Se (0.500, 0.500, 0.500)
Br (0.024, 0.107, 0.342)
Br (0.107, 0.342, 0.024)
Br (0.188, 0.576, 0.724)
Br (0.276, 0.812, 0.424)
Br (0.342, 0.024, 0.107)
Br (0.424, 0.276, 0.812)
Br (0.576, 0.724, 0.188)
Br (0.658, 0.976, 0.893)
Br (0.724, 0.188, 0.576)
Br (0.812, 0.424, 0.276)
Br (0.893, 0.658, 0.976)
Br (0.976, 0.893, 0.658)